# 1
# Cr2WCl PBE optimized geometry
data_Cr2WCl
_symmetry_space_group_name_H-M 'P 1'
_symmetry_Int_Tables_number 1
_cell_length_a 2.8584
_cell_length_b 2.8584
_cell_length_c 24.0491
_cell_angle_alpha 90.00
_cell_angle_beta 90.00
_cell_angle_gamma 120.00
loop_
_symmetry_equiv_pos_as_xyz
'x,y,z'
loop_
_atom_site_label
_atom_site_type_symbol
_atom_site_fract_x
_atom_site_fract_y
_atom_site_fract_z
Cr1 Cr 0.0000 0.0000 0.0000
Cr2 Cr 0.0000 0.0000 0.2669
Cr3 Cr 0.3333 0.6667 0.6667
Cr4 Cr 0.3333 0.6667 0.9336
Cr5 Cr 0.6667 0.3333 0.3333
Cr6 Cr 0.6667 0.3333 0.6003
W1 W 0.0000 0.0000 0.7595
W2 W 0.3333 0.6667 0.4262
W3 W 0.6667 0.3333 0.0928
Cl1 Cl 0.0000 0.0000 0.5122
Cl2 Cl 0.3333 0.6667 0.1789
Cl3 Cl 0.6667 0.3333 0.8456
# - Total magnetic moment: 0.21 μB per formula unit
# - Formation energy from raw total energies: 0.4727 eV per atom
# - Calculated total energy: -8.0389 eV/atom
# - Mass density: 9.5 g/cm3

---

# 2
# YNi2Au2 PBE optimized geometry
data_YNi2Au2
_symmetry_space_group_name_H-M 'P 1'
_symmetry_Int_Tables_number 1
_cell_length_a 6.9338
_cell_length_b 6.9338
_cell_length_c 3.5314
_cell_angle_alpha 90.00
_cell_angle_beta 90.00
_cell_angle_gamma 90.00
loop_
_symmetry_equiv_pos_as_xyz
'x,y,z'
loop_
_atom_site_label
_atom_site_type_symbol
_atom_site_fract_x
_atom_site_fract_y
_atom_site_fract_z
Y1 Y 0.0000 0.0000 0.0000
Y2 Y 0.5000 0.5000 0.0000
Ni1 Ni 0.1242 0.3758 0.0000
Ni2 Ni 0.3758 0.8758 0.0000
Ni3 Ni 0.6242 0.1242 0.0000
Ni4 Ni 0.8758 0.6242 0.0000
Au1 Au 0.1674 0.6674 0.5000
Au2 Au 0.3326 0.1674 0.5000
Au3 Au 0.6674 0.8326 0.5000
Au4 Au 0.8326 0.3326 0.5000
# - Energy of formation: -0.315 eV/atom
# - Total magnetic moment: 0.00 μB per formula unit
# - Calculated total energy: -5.2315 eV/atom
# - Mass density: 11.7 g/cm3

---

# 3
# DyErCu PBE optimized geometry
data_DyErCu
_symmetry_space_group_name_H-M 'P 1'
_symmetry_Int_Tables_number 1
_cell_length_a 3.4568
_cell_length_b 3.4568
_cell_length_c 12.2487
_cell_angle_alpha 90.00
_cell_angle_beta 90.00
_cell_angle_gamma 90.00
loop_
_symmetry_equiv_pos_as_xyz
'x,y,z'
loop_
_atom_site_label
_atom_site_type_symbol
_atom_site_fract_x
_atom_site_fract_y
_atom_site_fract_z
Dy1 Dy 0.0000 0.0000 0.0000
Dy2 Dy 0.5000 0.5000 0.5000
Er1 Er 0.0000 0.0000 0.2784
Er2 Er 0.5000 0.5000 0.7784
Cu1 Cu 0.0000 0.0000 0.6426
Cu2 Cu 0.5000 0.5000 0.1426
# - Energy of formation: -0.136 eV/atom
# - Total magnetic moment: 0.37 μB per formula unit
# - Calculated total energy: -4.5560 eV/atom
# - Mass density: 8.9 g/cm3

---

# 4
# CaTmAl2Ag5 PBE optimized geometry
data_CaTmAl2Ag5
_symmetry_space_group_name_H-M 'P 1'
_symmetry_Int_Tables_number 1
_cell_length_a 4.5101
_cell_length_b 4.5101
_cell_length_c 9.0710
_cell_angle_alpha 90.00
_cell_angle_beta 90.00
_cell_angle_gamma 90.00
loop_
_symmetry_equiv_pos_as_xyz
'x,y,z'
loop_
_atom_site_label
_atom_site_type_symbol
_atom_site_fract_x
_atom_site_fract_y
_atom_site_fract_z
Ca1 Ca 0.0000 0.0000 0.0000
Tm1 Tm 0.0000 0.0000 0.5000
Al1 Al 0.5000 0.5000 0.3626
Al2 Al 0.5000 0.5000 0.6374
Ag1 Ag 0.0000 0.5000 0.2272
Ag2 Ag 0.0000 0.5000 0.7728
Ag3 Ag 0.5000 0.0000 0.2272
Ag4 Ag 0.5000 0.0000 0.7728
Ag5 Ag 0.5000 0.5000 0.0000
# - Energy of formation: -0.192 eV/atom
# - Total magnetic moment: 0.00 μB per formula unit
# - Calculated total energy: -3.3265 eV/atom
# - Mass density: 7.2 g/cm3

---

# 5
# ErTcS PBE optimized geometry
data_ErTcS
_symmetry_space_group_name_H-M 'P 1'
_symmetry_Int_Tables_number 1
_cell_length_a 10.6001
_cell_length_b 4.9309
_cell_length_c 4.9972
_cell_angle_alpha 90.00
_cell_angle_beta 105.10
_cell_angle_gamma 90.00
loop_
_symmetry_equiv_pos_as_xyz
'x,y,z'
loop_
_atom_site_label
_atom_site_type_symbol
_atom_site_fract_x
_atom_site_fract_y
_atom_site_fract_z
Er1 Er 0.1298 0.0000 0.3383
Er2 Er 0.3702 0.5000 0.6617
Er3 Er 0.6298 0.5000 0.3383
Er4 Er 0.8702 0.0000 0.6617
Tc1 Tc 0.0241 0.5000 0.7461
Tc2 Tc 0.4759 0.0000 0.2539
Tc3 Tc 0.5241 0.0000 0.7461
Tc4 Tc 0.9759 0.5000 0.2539
S1 S 0.1870 0.5000 0.1779
S2 S 0.3130 0.0000 0.8221
S3 S 0.6870 0.0000 0.1779
S4 S 0.8130 0.5000 0.8221
# - Total magnetic moment: 0.00 μB per formula unit
# - Formation energy from raw total energies: -0.5822 eV per atom
# - Calculated total energy: -6.9343 eV/atom
# - Mass density: 7.8 g/cm3

---

# 6
# Dy2Pa2Sb2C PBE optimized geometry
data_Dy2Pa2Sb2C
_symmetry_space_group_name_H-M 'P 1'
_symmetry_Int_Tables_number 1
_cell_length_a 4.6503
_cell_length_b 4.6503
_cell_length_c 16.3108
_cell_angle_alpha 90.00
_cell_angle_beta 90.00
_cell_angle_gamma 90.00
loop_
_symmetry_equiv_pos_as_xyz
'x,y,z'
loop_
_atom_site_label
_atom_site_type_symbol
_atom_site_fract_x
_atom_site_fract_y
_atom_site_fract_z
Dy1 Dy 0.0000 0.0000 0.1628
Dy2 Dy 0.0000 0.0000 0.8372
Dy3 Dy 0.5000 0.5000 0.3372
Dy4 Dy 0.5000 0.5000 0.6628
Pa1 Pa 0.0000 0.5000 0.0000
Pa2 Pa 0.0000 0.5000 0.5000
Pa3 Pa 0.5000 0.0000 0.0000
Pa4 Pa 0.5000 0.0000 0.5000
Sb1 Sb 0.0000 0.0000 0.3562
Sb2 Sb 0.0000 0.0000 0.6438
Sb3 Sb 0.5000 0.5000 0.1438
Sb4 Sb 0.5000 0.5000 0.8562
C1 C 0.0000 0.0000 0.0000
C2 C 0.5000 0.5000 0.5000
# - Total magnetic moment: 0.00 μB per formula unit
# - Formation energy from raw total energies: -0.6493 eV per atom
# - Calculated total energy: -7.1729 eV/atom
# - Mass density: 9.8 g/cm3

---

# 7
# Zn2CrIr PBE optimized geometry
data_Zn2CrIr
_symmetry_space_group_name_H-M 'P 1'
_symmetry_Int_Tables_number 1
_cell_length_a 8.8492
_cell_length_b 2.8711
_cell_length_c 4.5958
_cell_angle_alpha 90.00
_cell_angle_beta 102.85
_cell_angle_gamma 90.00
loop_
_symmetry_equiv_pos_as_xyz
'x,y,z'
loop_
_atom_site_label
_atom_site_type_symbol
_atom_site_fract_x
_atom_site_fract_y
_atom_site_fract_z
Zn1 Zn 0.2476 0.0000 0.2449
Zn2 Zn 0.2524 0.5000 0.7551
Zn3 Zn 0.7476 0.5000 0.2449
Zn4 Zn 0.7524 0.0000 0.7551
Cr1 Cr 0.0000 0.0000 0.5000
Cr2 Cr 0.5000 0.5000 0.5000
Ir1 Ir 0.0000 0.5000 0.0000
Ir2 Ir 0.5000 0.0000 0.0000
# - Energy of formation: -0.034 eV/atom
# - Total magnetic moment: 3.01 μB per formula unit
# - Calculated total energy: -5.2919 eV/atom
# - Mass density: 10.9 g/cm3

---

Repeat the fifth record exactly.
# ErTcS PBE optimized geometry
data_ErTcS
_symmetry_space_group_name_H-M 'P 1'
_symmetry_Int_Tables_number 1
_cell_length_a 10.6001
_cell_length_b 4.9309
_cell_length_c 4.9972
_cell_angle_alpha 90.00
_cell_angle_beta 105.10
_cell_angle_gamma 90.00
loop_
_symmetry_equiv_pos_as_xyz
'x,y,z'
loop_
_atom_site_label
_atom_site_type_symbol
_atom_site_fract_x
_atom_site_fract_y
_atom_site_fract_z
Er1 Er 0.1298 0.0000 0.3383
Er2 Er 0.3702 0.5000 0.6617
Er3 Er 0.6298 0.5000 0.3383
Er4 Er 0.8702 0.0000 0.6617
Tc1 Tc 0.0241 0.5000 0.7461
Tc2 Tc 0.4759 0.0000 0.2539
Tc3 Tc 0.5241 0.0000 0.7461
Tc4 Tc 0.9759 0.5000 0.2539
S1 S 0.1870 0.5000 0.1779
S2 S 0.3130 0.0000 0.8221
S3 S 0.6870 0.0000 0.1779
S4 S 0.8130 0.5000 0.8221
# - Total magnetic moment: 0.00 μB per formula unit
# - Formation energy from raw total energies: -0.5822 eV per atom
# - Calculated total energy: -6.9343 eV/atom
# - Mass density: 7.8 g/cm3

---

> Look up the total magnetic moment of the seventh one.

3.01 μB per formula unit

---

> The highest total magnetic moment belongs to which entry?

Zn2CrIr